Here is a geometry-optimized PaTlHg structure from Alexandria via LeMat-Bulk. Energies are from GGA-PBE.

a = 3.2783 Å, b = 3.2783 Å, c = 8.2218 Å
α = 90.00°, β = 90.00°, γ = 120.00°
Space group P3m1 (No. 156)
Inequivalent atoms, fractional coordinates:
Pa 0.0000 0.0000 0.0000
Tl 0.3333 0.6667 0.6541
Hg 0.6667 0.3333 0.3265

Properties
ρ = 13.80 g/cm³
ΔH_f (0 K) = 0.108 eV/atom
Energy above the most stable polymorph in this dataset = 0.000 eV per atom
Crystal system = trigonal
D(E_F) = 3.39 states/eV/cell
Uncorrected energy = -3.947 eV per atom

***

Here is a geometry-optimized AgRhBr structure from Alexandria via LeMat-Bulk. Energies are from GGA-PBE.

a = 3.1840 Å, b = 5.4811 Å, c = 13.5022 Å
α = 90.00°, β = 90.00°, γ = 90.00°
Space group Fmm2 (No. 42)
Inequivalent atoms, fractional coordinates:
Ag 0.0000 0.0000 0.0000
Rh 0.0000 0.0000 0.6634
Br 0.0000 0.0000 0.3044

Properties
ρ = 8.19 g/cm³
Energy above the most stable polymorph in this dataset = 0.109 eV per atom
Crystal system = orthorhombic
D(E_F) = 10.49 states/eV/cell
Uncorrected energy = -3.498 eV per atom
Raw formation energy = 0.46 eV/atom